VASP calculation (PBE) on an optimized crystal structure of TmZr2PaP4.

Results
* DOS(E_F): 0.602 states/eV per atom
* M_tot: 0.00 μB per cell
* calculated density: 7.29 Mg/m³
* E_form: -1.4268 eV/atom

Unit cell a=6.6503 b=3.8557 c=6.6549 alpha=90.00 beta=109.50 gamma=90.00
Fractional positions:
Tm (0.0000, 0.0000, 0.0000)
Zr (0.0000, 0.5000, 0.5000)
Zr (0.5000, 0.0000, 0.5000)
Pa (0.5000, 0.5000, 0.0000)
P (0.2450, 0.0000, 0.7386)
P (0.2535, 0.5000, 0.2595)
P (0.7465, 0.5000, 0.7405)
P (0.7550, 0.0000, 0.2614)